1.
! YZr2Zn, relaxed, DFT PBE-GGA; values from VASP
&SYSTEM
  ibrav = 0, nat = 4, ntyp = 3
/
ATOMIC_SPECIES
Zn 65.41 Zn.upf
Zr 91.22 Zr.upf
Y 88.91 Y.upf
ATOMIC_POSITIONS crystal
Zn 0.254 0.254 0.254
Zr 0.744 0.744 0.744
Zr 0.995 0.995 0.995
Y 0.507 0.507 0.507
CELL_PARAMETERS angstrom
-4.254 2.013 8.819
-2.872 -0.958 9.526
-1.044 1.842 9.769
! DOS at the Fermi energy: 5.3 states/eV/f.u.
! space group: R3m
! energy of formation: 6 kJ/mol of formula units

2.
! SrCa3Mn, relaxed, DFT PBE-GGA; values from VASP
&SYSTEM
  ibrav = 0, nat = 5, ntyp = 3
/
ATOMIC_SPECIES
Mn 54.94 Mn.upf
Ca 40.08 Ca.upf
Sr 87.62 Sr.upf
ATOMIC_POSITIONS crystal
Mn 0.500 0.500 0.500
Ca 0.000 0.500 0.000
Ca 0.000 0.000 0.500
Ca 0.500 0.000 0.000
Sr 0.000 0.000 0.000
CELL_PARAMETERS angstrom
6.033 0.000 0.000
0.000 6.033 0.000
0.000 0.000 6.033
! DOS at the Fermi energy: 13.7 states/eV/f.u.
! space group: Pm-3m
! ΔE to the lowest computed polymorph: 756.5 kJ/mol of formula units
! energy of formation: 904 kJ/mol of formula units

3.
! TePBr, relaxed, DFT PBE-GGA; values from VASP
&SYSTEM
  ibrav = 0, nat = 3, ntyp = 3
/
ATOMIC_SPECIES
P 30.97 P.upf
Te 127.60 Te.upf
Br 79.90 Br.upf
ATOMIC_POSITIONS crystal
P 0.500 0.500 0.500
Te 0.250 0.250 0.250
Br 0.000 0.000 0.000
CELL_PARAMETERS angstrom
-3.696 -1.451 -2.892
-3.963 -2.135 1.965
-4.285 2.398 0.102
! DOS at the Fermi energy: 2.2 states/eV/f.u.
! space group: F-43m
! uncorrected formation energy: 608 meV per atom

4.
! La3TbPa2N6, relaxed, DFT PBE-GGA; values from VASP
&SYSTEM
  ibrav = 0, nat = 12, ntyp = 4
/
ATOMIC_SPECIES
N 14.01 N.upf
Pa 231.04 Pa.upf
Tb 158.93 Tb.upf
La 138.91 La.upf
ATOMIC_POSITIONS crystal
N 0.930 0.582 0.791
N 0.582 0.930 0.791
N 0.721 0.721 0.207
N 0.279 0.279 0.793
N 0.418 0.070 0.209
N 0.070 0.418 0.209
Pa 0.333 0.667 0.000
Pa 0.667 0.333 0.000
Tb 0.000 0.000 0.000
La 0.166 0.834 0.500
La 0.500 0.500 0.500
La 0.834 0.166 0.500
CELL_PARAMETERS angstrom
6.202 -0.002 0.001
-3.102 5.371 0.001
-1.034 -1.790 6.003
! DOS at the Fermi energy: 5.9 states/eV/f.u.
! space group: C2/m
! uncorrected formation energy: -1575 meV per atom

5.
! TaIn2Fe, relaxed, DFT PBE-GGA; values from VASP
&SYSTEM
  ibrav = 0, nat = 4, ntyp = 3
/
ATOMIC_SPECIES
In 114.82 In.upf
Fe 55.84 Fe.upf
Ta 180.95 Ta.upf
ATOMIC_POSITIONS crystal
In 0.000 0.000 0.981
In 0.000 0.000 0.519
Fe 0.500 0.500 0.750
Ta 0.500 0.500 0.250
CELL_PARAMETERS angstrom
2.931 0.000 0.000
0.000 2.931 0.000
0.000 0.000 8.473
! DOS at the Fermi energy: 3.0 states/eV/f.u.
! space group: P4/mmm
! ΔE to the lowest computed polymorph: 69.4 kJ/mol of formula units
! energy of formation: 109 kJ/mol of formula units

6.
! MgCo2Te, relaxed, DFT PBE-GGA; values from VASP
&SYSTEM
  ibrav = 0, nat = 4, ntyp = 3
/
ATOMIC_SPECIES
Co 58.93 Co.upf
Te 127.60 Te.upf
Mg 24.30 Mg.upf
ATOMIC_POSITIONS crystal
Co 0.000 0.000 0.000
Co 0.250 0.750 0.500
Te 0.750 0.250 0.500
Mg 0.500 0.500 0.000
CELL_PARAMETERS angstrom
-2.757 -3.776 1.769
2.522 -3.735 2.162
-0.066 4.984 0.372
! DOS at the Fermi energy: 4.3 states/eV/f.u.
! space group: I-4m2
! ΔE to the lowest computed polymorph: 42.1 kJ/mol of formula units
! uncorrected formation energy: 183 meV per atom

7.
! CsTc3Se, relaxed, DFT PBE-GGA; values from VASP
&SYSTEM
  ibrav = 0, nat = 5, ntyp = 3
/
ATOMIC_SPECIES
Se 78.96 Se.upf
Cs 132.91 Cs.upf
Tc 98.00 Tc.upf
ATOMIC_POSITIONS crystal
Se 0.000 0.000 0.000
Cs 0.500 0.500 0.500
Tc 0.000 0.500 0.000
Tc 0.000 0.000 0.500
Tc 0.500 0.000 0.000
CELL_PARAMETERS angstrom
-2.717 -3.959 0.037
3.032 -2.110 -3.067
2.545 -1.713 3.694
! DOS at the Fermi energy: 5.1 states/eV/f.u.
! space group: Pm-3m
! ΔE to the lowest computed polymorph: 0.0 kJ/mol of formula units
! uncorrected formation energy: 1494 meV per atom

8.
! PrThRuPt, relaxed, DFT PBE-GGA; values from VASP
&SYSTEM
  ibrav = 0, nat = 4, ntyp = 4
/
ATOMIC_SPECIES
Pr 140.91 Pr.upf
Th 232.04 Th.upf
Ru 101.07 Ru.upf
Pt 195.08 Pt.upf
ATOMIC_POSITIONS crystal
Pr 0.855 0.500 0.710
Th 0.134 0.000 0.268
Ru 0.596 0.500 0.192
Pt 0.415 0.000 0.830
CELL_PARAMETERS angstrom
3.969 0.000 0.000
0.000 4.164 0.000
-1.984 0.000 5.747
! DOS at the Fermi energy: 2.8 states/eV/f.u.
! space group: Amm2
! ΔE to the lowest computed polymorph: 0.0 kJ/mol of formula units
! energy of formation: -298 kJ/mol of formula units

9.
! CeSc4Pd5, relaxed, DFT PBE-GGA; values from VASP
&SYSTEM
  ibrav = 0, nat = 10, ntyp = 3
/
ATOMIC_SPECIES
Pd 106.42 Pd.upf
Sc 44.96 Sc.upf
Ce 140.12 Ce.upf
ATOMIC_POSITIONS crystal
Pd 0.500 0.500 0.500
Pd 0.500 0.500 0.308
Pd 0.500 0.500 0.122
Pd 0.500 0.500 0.878
Pd 0.500 0.500 0.692
Sc 0.000 0.000 0.596
Sc 0.000 0.000 0.789
Sc 0.000 0.000 0.211
Sc 0.000 0.000 0.404
Ce 0.000 0.000 0.000
CELL_PARAMETERS angstrom
3.295 0.000 0.000
0.000 3.295 0.000
0.000 0.000 17.456
! DOS at the Fermi energy: 10.2 states/eV/f.u.
! space group: P4/mmm
! energy of formation: -813 kJ/mol of formula units

10.
! BaSr2Br, relaxed, DFT PBE-GGA; values from VASP
&SYSTEM
  ibrav = 0, nat = 4, ntyp = 3
/
ATOMIC_SPECIES
Sr 87.62 Sr.upf
Br 79.90 Br.upf
Ba 137.33 Ba.upf
ATOMIC_POSITIONS crystal
Sr 0.951 0.951 0.049
Sr 0.549 0.549 0.451
Br 0.250 0.250 0.250
Ba 0.750 0.750 0.750
CELL_PARAMETERS angstrom
7.696 -0.004 0.003
6.598 3.961 0.003
3.361 0.931 6.300
! DOS at the Fermi energy: 3.8 states/eV/f.u.
! space group: C2/m
! ΔE to the lowest computed polymorph: 33.5 kJ/mol of formula units
! uncorrected formation energy: -649 meV per atom

11.
! Nd3Dy4Tm2, relaxed, DFT PBE-GGA; values from VASP
&SYSTEM
  ibrav = 0, nat = 9, ntyp = 3
/
ATOMIC_SPECIES
Dy 162.50 Dy.upf
Nd 144.24 Nd.upf
Tm 168.93 Tm.upf
ATOMIC_POSITIONS crystal
Dy 0.336 0.669 0.000
Dy 0.664 0.331 0.000
Dy 0.890 0.780 0.667
Dy 0.110 0.220 0.333
Nd 0.554 0.110 0.666
Nd 0.446 0.890 0.334
Nd 0.000 0.000 0.000
Tm 0.779 0.557 0.334
Tm 0.221 0.443 0.666
CELL_PARAMETERS angstrom
-5.105 -2.546 -2.381
4.526 -3.619 2.172
-4.450 9.486 7.497
! DOS at the Fermi energy: 11.9 states/eV/f.u.
! space group: P-1
! ΔE to the lowest computed polymorph: 0.0 kJ/mol of formula units
! energy of formation: 17 kJ/mol of formula units

12.
! NaPbSCl, relaxed, DFT PBE-GGA; values from VASP
&SYSTEM
  ibrav = 0, nat = 4, ntyp = 4
/
ATOMIC_SPECIES
Na 22.99 Na.upf
Pb 207.20 Pb.upf
S 32.06 S.upf
Cl 35.45 Cl.upf
ATOMIC_POSITIONS crystal
Na 0.140 0.968 0.123
Pb 0.494 0.146 0.655
S 0.300 0.548 0.863
Cl 0.943 0.369 0.328
CELL_PARAMETERS angstrom
4.082 -0.001 -0.001
-2.041 3.535 0.001
-2.041 -1.176 7.332
! DOS at the Fermi energy: 0.0 states/eV/f.u.
! space group: R3m
! uncorrected formation energy: -1083 meV per atom

Q: Which formula does entry 10 have?
A: BaSr2Br

Q: Number 1 is which compound?
A: YZr2Zn

Q: DOS at the Fermi energy of number 6 (MgCo2Te)?
A: 4.3 states/eV/f.u.

Q: Which of these has the lowest DOS at the Fermi energy?
A: NaPbSCl